# 1
DFT (PBE) results for crystalline ZrCrRh at its relaxed geometry.

Its formation energy is 0.113 eV per atom. Its offset from the most stable computed form is 218 meV per atom. The calculation puts the magnetization at 3.703 μB/f.u.

It has space group F-43m (No. 216), with a = 6.2126 Å, b = 6.2126 Å, c = 6.2126 Å, α = 90.00°, β = 90.00° and γ = 90.00°. The inequivalent atoms are Zr at (0.0000, 0.0000, 0.0000), Cr at (0.0000, 0.0000, 0.5000) and Rh at (0.2500, 0.2500, 0.2500).

***

# 2
DFT (PBE) results for crystalline ZrCr2Rh at its relaxed geometry.

Its formation energy is 0.159 eV per atom. Its offset from the most stable computed form is 248 meV per atom. The calculation puts the magnetization at 0.216 μB/f.u.

It has space group C2/m (No. 12), with a = 5.2367 Å, b = 8.7335 Å, c = 2.7605 Å, α = 90.00°, β = 110.23° and γ = 90.00°. The inequivalent atoms are Zr at (0.0000, 0.0000, 0.0000), Cr at (0.2500, 0.2500, 0.5000) and Rh at (0.0000, 0.5000, 0.0000).

***

# 3
DFT (PBE) results for crystalline ZrCr2Rh at its relaxed geometry.

Its formation energy is 0.018 eV per atom. Its offset from the most stable computed form is 107 meV per atom. The calculation puts the magnetization at 0.526 μB/f.u.

It has space group Imm2 (No. 44), with a = 3.1684 Å, b = 4.5262 Å, c = 8.5365 Å, α = 90.00°, β = 90.00° and γ = 90.00°. The inequivalent atoms are Zr at (0.0000, 0.0000, 0.0000), Cr at (0.0000, 0.0000, 0.4768), Cr at (0.0000, 0.5000, 0.7696) and Rh at (0.0000, 0.5000, 0.2360).

***

# 4
DFT (PBE) results for crystalline ZrCrRh2 at its relaxed geometry.

Its formation energy is -0.212 eV per atom. The calculation puts the magnetization at 3.145 μB/f.u.

It has space group Pmm2 (No. 25), with a = 3.0257 Å, b = 3.8457 Å, c = 5.6175 Å, α = 90.00°, β = 90.00° and γ = 90.00°. The inequivalent atoms are Zr at (0.0000, 0.0000, 0.0000), Cr at (0.5000, 0.5000, 0.3198), Rh at (0.0000, 0.0000, 0.4804) and Rh at (0.5000, 0.5000, 0.7828).

***

# 5
DFT (PBE) results for crystalline ZrCr2Rh at its relaxed geometry.

Its formation energy is 0.410 eV per atom. Its offset from the most stable computed form is 499 meV per atom. The calculation puts the magnetization at 0.000 μB/f.u.

It has space group R-3m (No. 166, hexagonal axes), with a = 2.7379 Å, b = 2.7379 Å, c = 27.7681 Å, α = 90.00°, β = 90.00° and γ = 120.00°. The inequivalent atoms are Zr at (0.0000, 0.0000, 0.0000), Cr at (0.0000, 0.0000, 0.2412) and Rh at (0.0000, 0.0000, 0.5000).

***

# 6
DFT (PBE) results for crystalline ZrCr2Rh at its relaxed geometry.

Its formation energy is 0.249 eV per atom. Its offset from the most stable computed form is 338 meV per atom. The calculation puts the magnetization at 0.002 μB/f.u.

It has space group Cmmm (No. 65), with a = 3.8304 Å, b = 3.8415 Å, c = 8.1317 Å, α = 90.00°, β = 90.00° and γ = 90.00°. The inequivalent atoms are Zr at (0.0000, 0.0000, 0.0000), Cr at (0.0000, 0.5000, 0.2804) and Rh at (0.0000, 0.0000, 0.5000).

***

# 7
DFT (PBE) results for crystalline CrRu6 at its relaxed geometry.

Its formation energy is 0.248 eV per atom. The calculation puts the magnetization at 0.000 μB/f.u.

It has space group Pnma (No. 62), with a = 10.0810 Å, b = 8.4001 Å, c = 4.7009 Å, α = 90.00°, β = 90.00° and γ = 90.00°. The inequivalent atoms are Cr at (0.1540, 0.2500, 0.1021), Ru at (0.0006, 0.2500, 0.6455), Ru at (0.0740, 0.5884, 0.8496), Ru at (0.1641, 0.0003, 0.3624) and Ru at (0.2473, 0.7500, 0.1242).

***

# 8
DFT (PBE) results for crystalline Cr3Ru at its relaxed geometry.

Its formation energy is 0.153 eV per atom. The calculation puts the magnetization at 0.000 μB/f.u.

It has space group R-3m (No. 166, hexagonal axes), with a = 8.1734 Å, b = 8.1734 Å, c = 2.5663 Å, α = 90.00°, β = 90.00° and γ = 120.00°. The inequivalent atoms are Cr at (0.0000, 0.5000, 0.0000) and Ru at (0.0000, 0.0000, 0.0000).

***

# 9
DFT (PBE) results for crystalline Cr2Ru at its relaxed geometry.

Its formation energy is 0.020 eV per atom. The calculation puts the magnetization at 0.000 μB/f.u.

It has space group Fd-3m (No. 227, origin choice 2), with a = 6.6742 Å, b = 6.6742 Å, c = 6.6742 Å, α = 90.00°, β = 90.00° and γ = 90.00°. The inequivalent atoms are Cr at (0.0000, 0.0000, 0.0000) and Ru at (0.1250, 0.1250, 0.6250).

***

# 10
DFT (PBE) results for crystalline Cr5Ru at its relaxed geometry.

Its formation energy is 0.055 eV per atom. Its offset from the most stable computed form is 3 meV per atom. The calculation puts the magnetization at 0.000 μB/f.u.

It has space group C2/m (No. 12), with a = 9.1257 Å, b = 2.8781 Å, c = 5.8067 Å, α = 90.00°, β = 108.67° and γ = 90.00°. The inequivalent atoms are Cr at (0.0000, 0.0000, 0.0000), Cr at (0.1701, 0.5000, 0.8445), Cr at (0.1736, 0.5000, 0.3268) and Ru at (0.0000, 0.0000, 0.5000).

***

# 11
DFT (PBE) results for crystalline CrRu7 at its relaxed geometry.

Its formation energy is 0.112 eV per atom. The calculation puts the magnetization at 0.435 μB/f.u.

It has space group Fm-3m (No. 225), with a = 7.6102 Å, b = 7.6102 Å, c = 7.6102 Å, α = 90.00°, β = 90.00° and γ = 90.00°. The inequivalent atoms are Cr at (0.0000, 0.0000, 0.0000), Ru at (0.0000, 0.0000, 0.5000) and Ru at (0.0000, 0.2500, 0.2500).

***

# 12
DFT (PBE) results for crystalline Cr3Ru at its relaxed geometry.

Its formation energy is 0.066 eV per atom. The calculation puts the magnetization at 0.000 μB/f.u.

It has space group Pm-3n (No. 223), with a = 4.6314 Å, b = 4.6314 Å, c = 4.6314 Å, α = 90.00°, β = 90.00° and γ = 90.00°. The inequivalent atoms are Cr at (0.0000, 0.2500, 0.5000) and Ru at (0.0000, 0.0000, 0.0000).

***

# 13
DFT (PBE) results for crystalline CrRu5 at its relaxed geometry.

Its formation energy is 0.724 eV per atom. The calculation puts the magnetization at 0.075 μB/f.u.

It has space group P6/mmm (No. 191), with a = 5.0257 Å, b = 5.0257 Å, c = 4.4053 Å, α = 90.00°, β = 90.00° and γ = 120.00°. The inequivalent atoms are Cr at (0.0000, 0.0000, 0.0000), Ru at (0.0000, 0.5000, 0.5000) and Ru at (0.3333, 0.6667, 0.0000).

***

# 14
DFT (PBE) results for crystalline Cr2Ru at its relaxed geometry.

Its formation energy is 0.129 eV per atom. The calculation puts the magnetization at 0.000 μB/f.u.

It has space group Cm (No. 8), with a = 9.5380 Å, b = 2.8505 Å, c = 5.8066 Å, α = 90.00°, β = 106.45° and γ = 90.00°. The inequivalent atoms are Cr at (0.0000, 0.0000, 0.0000), Cr at (0.0551, 0.0000, 0.5348), Cr at (0.1784, 0.5000, 0.3531), Cr at (0.3679, 0.0000, 0.6942), Ru at (0.1911, 0.5000, 0.8807) and Ru at (0.3697, 0.0000, 0.2525).